Record 1
Here is a relaxed structure of Tb6Sm3Ho2Th from Alexandria. Energies are from PBE.

The calculation puts the formation energy at 0.02 eV per atom.

The structure belongs to space group C2/m (No. 12); the cell edges are 6.193, 10.717 and 11.855 Å and the angles 90.00°, 100.03° and 90.00°. The inequivalent atoms are Tb at (0.247, 0.000, 0.253), Tb at (0.248, 0.165, 0.747), Sm at (0.000, 0.167, 0.000), Sm at (0.000, 0.500, 0.000), Ho at (0.000, 0.333, 0.500) and Th at (0.000, 0.000, 0.500).

=====

Record 2
Here is a relaxed structure of ScBe2In from Alexandria. Energies are from PBE.

The calculation puts the formation energy at -0.04 eV per atom.

The structure belongs to space group Cm (No. 8); the cell edges are 6.550, 3.779 and 5.766 Å and the angles 90.00°, 112.23° and 90.00°. The inequivalent atoms are Sc at (0.000, 0.000, 0.000), Be at (0.065, 0.500, 0.693), Be at (0.230, 0.000, 0.688) and In at (0.304, 0.500, 0.409).

=====

Record 3
Here is a relaxed structure of Hf7Zr2Sc from Alexandria. Energies are from PBE.

The calculation puts the formation energy at 0.05 eV per atom.

The structure belongs to space group P-1 (No. 2); the cell edges are 4.881, 6.222 and 7.818 Å and the angles 89.89°, 71.91° and 89.91°. The inequivalent atoms are Hf at (0.000, 0.000, 0.000), Hf at (0.204, 0.501, 0.592), Hf at (0.396, 0.247, 0.209), Hf at (0.396, 0.752, 0.209), Zr at (0.199, 0.001, 0.600) and Sc at (0.000, 0.500, 0.000).

=====

Record 4
Here is a relaxed structure of CdAsHSe2 from Alexandria. Energies are from PBE.

Its energy above the most stable polymorph in this dataset is 763 meV per atom.

The structure belongs to space group P4/mmm (No. 123); the cell edges are 5.324, 5.324 and 5.201 Å and the angles 90.00°, 90.00° and 90.00°. The inequivalent atoms are Cd at (0.000, 0.000, 0.000), As at (0.000, 0.000, 0.500), H at (0.500, 0.500, 0.500) and Se at (0.000, 0.500, 0.000).

=====

Record 5
Here is a relaxed structure of Ac2Zn4Pd3Rh from Alexandria. Energies are from PBE.

The calculation puts the formation energy at -0.62 eV per atom.

The structure belongs to space group P-4m2 (No. 115); the cell edges are 4.471, 4.471 and 10.253 Å and the angles 90.00°, 90.00° and 90.00°. The inequivalent atoms are Ac at (0.000, 0.500, 0.238), Zn at (0.000, 0.000, 0.500), Zn at (0.000, 0.500, 0.877), Zn at (0.500, 0.500, 0.500), Pd at (0.000, 0.000, 0.000), Pd at (0.000, 0.500, 0.628) and Rh at (0.500, 0.500, 0.000).

=====

Record 6
Here is a relaxed structure of Ca2LaMo from Alexandria. Energies are from PBE.

The calculation puts the formation energy at 0.64 eV per atom. Its energy above the most stable polymorph in this dataset is 191 meV per atom.

The structure belongs to space group I4/mmm (No. 139); the cell edges are 4.717, 4.717 and 10.294 Å and the angles 90.00°, 90.00° and 90.00°. The inequivalent atoms are Ca at (0.000, 0.500, 0.250), La at (0.000, 0.000, 0.000) and Mo at (0.000, 0.000, 0.500).